Entry 1:
Here is a relaxed structure of Zr2FeRh2 from Alexandria via LeMat-Bulk. Energies are from PBE-GGA.

```
Zr2FeRh2
1.0
-1.8014 1.8014 7.2000
1.8014 -1.8014 7.2000
1.8014 1.8014 -7.2000
Zr Fe Rh
2 1 2
Direct
0.1040 0.1040 0.0000
0.8960 0.8960 0.0000
0.5000 0.5000 0.0000
0.2500 0.7500 0.5000
0.7500 0.2500 0.5000
```

---

Entry 2:
Here is a relaxed structure of Zr2Fe2Rh from Alexandria via LeMat-Bulk. Energies are from PBE-GGA.

```
Zr2Fe2Rh
1.0
6.5718 0.0000 0.0000
0.0000 6.5718 0.0000
0.0000 0.0000 3.7404
Zr Fe Rh
4 4 2
Direct
0.1841 0.3159 0.0000
0.3159 0.8159 0.0000
0.6841 0.1841 0.0000
0.8159 0.6841 0.0000
0.1152 0.6152 0.5000
0.3848 0.1152 0.5000
0.6152 0.8848 0.5000
0.8848 0.3848 0.5000
0.0000 0.0000 0.5000
0.5000 0.5000 0.5000
```

---

Entry 3:
Here is a relaxed structure of ZrFeRh2 from Alexandria via LeMat-Bulk. Energies are from PBE-GGA.

```
ZrFeRh2
1.0
1.4263 0.8235 8.9103
-1.4263 0.8235 8.9103
0.0000 -1.6470 8.9103
Zr Fe Rh
1 1 2
Direct
0.0000 0.0000 0.0000
0.2444 0.2444 0.2444
0.5049 0.5049 0.5049
0.7537 0.7537 0.7537
```

---

Entry 4:
Here is a relaxed structure of Zr3FeRh from Alexandria via LeMat-Bulk. Energies are from PBE-GGA.

Properties
ΔE to the lowest computed polymorph, meV per atom: 570

```
Zr3FeRh
1.0
4.7319 0.0000 0.0000
0.0000 4.7319 0.0000
0.0000 0.0000 4.7319
Zr Fe Rh
3 1 1
Direct
0.0000 0.0000 0.5000
0.0000 0.5000 0.0000
0.5000 0.0000 0.0000
0.0000 0.0000 0.0000
0.5000 0.5000 0.5000
```

---

Entry 5:
Here is a relaxed structure of FeRu from Alexandria via LeMat-Bulk. Energies are from PBE-GGA.

```
FeRu
1.0
3.8544 0.0000 0.0000
-1.9272 3.3380 0.0000
0.0000 0.0000 5.2131
Fe Ru
2 2
Direct
0.3333 0.6667 0.0000
0.6667 0.3333 0.5000
0.3333 0.6667 0.4267
0.6667 0.3333 0.9267
```

---

Entry 6:
Here is a relaxed structure of FeRu from Alexandria via LeMat-Bulk. Energies are from PBE-GGA.

```
FeRu
1.0
4.7030 -1.3328 0.0000
4.7030 1.3328 0.0000
-1.4932 0.0000 6.0064
Fe Ru
3 3
Direct
0.0000 0.0000 0.0000
0.0594 0.0594 0.6062
0.6667 0.6667 0.3362
0.3399 0.3399 0.6709
0.3923 0.3923 0.2743
0.7177 0.7177 0.9451
```

---

Entry 7:
Here is a relaxed structure of FeRu from Alexandria via LeMat-Bulk. Energies are from PBE-GGA.

```
FeRu
1.0
-5.2677 5.2677 1.2743
5.2677 -5.2677 1.2743
5.2677 5.2677 -1.2743
Fe Ru
4 4
Direct
0.1065 0.2738 0.3802
0.2738 0.8935 0.1673
0.7262 0.1065 0.8327
0.8935 0.7262 0.6198
0.1114 0.7620 0.8734
0.2380 0.1114 0.3494
0.7620 0.8886 0.6506
0.8886 0.2380 0.1266
```

---

Entry 8:
Here is a relaxed structure of Fe5Ru from Alexandria via LeMat-Bulk. Energies are from PBE-GGA.

Properties
ΔE to the lowest computed polymorph, meV per atom: 302

```
Fe5Ru
1.0
4.5884 0.0000 0.0000
-2.2942 3.9737 0.0000
0.0000 0.0000 4.0486
Fe Ru
5 1
Direct
0.0000 0.5000 0.0000
0.3333 0.6667 0.5000
0.5000 0.0000 0.0000
0.5000 0.5000 0.0000
0.6667 0.3333 0.5000
0.0000 0.0000 0.5000
```

---

Entry 9:
Here is a relaxed structure of FeRu from Alexandria via LeMat-Bulk. Energies are from PBE-GGA.

```
FeRu
1.0
-3.5350 3.5350 3.5350
3.5350 -3.5350 3.5350
3.5350 3.5350 -3.5350
Fe Ru
4 4
Direct
0.0000 0.0000 0.6663
0.0000 0.6663 0.0000
0.3337 0.3337 0.3337
0.6663 0.0000 0.0000
0.0000 0.0000 0.3071
0.0000 0.3071 0.0000
0.3071 0.0000 0.0000
0.6929 0.6929 0.6929
```

---

Entry 10:
Here is a relaxed structure of FeRu from Alexandria via LeMat-Bulk. Energies are from PBE-GGA.

```
FeRu
1.0
8.4627 0.0000 0.0000
-4.2314 7.3289 0.0000
0.0000 0.0000 2.6800
Fe Ru
6 6
Direct
0.0443 0.2665 0.2500
0.2222 0.9557 0.2500
0.2665 0.2222 0.7500
0.7335 0.7778 0.2500
0.7778 0.0443 0.7500
0.9557 0.7335 0.7500
0.1376 0.6184 0.2500
0.3816 0.5192 0.2500
0.4808 0.8624 0.2500
0.5192 0.1376 0.7500
0.6184 0.4808 0.7500
0.8624 0.3816 0.7500
```

---

Entry 11:
Here is a relaxed structure of FeRu from Alexandria via LeMat-Bulk. Energies are from PBE-GGA.

```
FeRu
1.0
3.6405 0.0000 0.0000
-1.8202 3.1527 0.0000
0.0000 0.0000 5.2549
Fe Ru
2 2
Direct
0.3333 0.6667 0.2500
0.6667 0.3333 0.7500
0.0000 0.0000 0.0000
0.0000 0.0000 0.5000
```

---

Entry 12:
Here is a relaxed structure of Fe5Ru from Alexandria via LeMat-Bulk. Energies are from PBE-GGA.

Properties
ΔE to the lowest computed polymorph, meV per atom: 96

```
Fe5Ru
1.0
0.0000 3.2857 3.2857
3.2857 0.0000 3.2857
3.2857 3.2857 0.0000
Fe Ru
5 1
Direct
0.0000 0.0000 0.0000
0.3743 0.3743 0.3743
0.3743 0.3743 0.8770
0.3743 0.8770 0.3743
0.8770 0.3743 0.3743
0.7500 0.7500 0.7500
```

---

Number 1: DOS(E_F) 6.1 states/eV/cell, V 93 Å³ per cell, formation energy from the elements 0.01 eV per atom. Number 2: DOS(E_F) 8.8 states/eV/cell, V 162 Å³ per cell, formation energy from the elements -0.26 eV per atom. Number 3: DOS(E_F) 6.0 states/eV/cell, V 63 Å³ per cell, formation energy from the elements 0.09 eV per atom. Number 4: DOS(E_F) 7.7 states/eV/cell, V 106 Å³ per cell, formation energy from the elements 0.26 eV per atom. Number 5: DOS(E_F) 4.0 states/eV/cell, V 67 Å³ per cell, formation energy from the elements 1.14 eV per atom. Number 6: DOS(E_F) 7.3 states/eV/cell, V 75 Å³ per cell, formation energy from the elements 0.10 eV per atom. Number 7: DOS(E_F) 9.5 states/eV/cell, V 141 Å³ per cell, formation energy from the elements 1.06 eV per atom. Number 8: DOS(E_F) 9.2 states/eV/cell, V 74 Å³ per cell, formation energy from the elements 0.41 eV per atom. Number 9: DOS(E_F) 8.7 states/eV/cell, V 177 Å³ per cell, formation energy from the elements 1.52 eV per atom. Number 10: DOS(E_F) 16.5 states/eV/cell, V 166 Å³ per cell, formation energy from the elements 0.43 eV per atom. Number 11: DOS(E_F) 6.0 states/eV/cell, V 60 Å³ per cell, formation energy from the elements 0.84 eV per atom. Number 12: DOS(E_F) 12.1 states/eV/cell, V 71 Å³ per cell, formation energy from the elements 0.20 eV per atom.